The following is a GGA-PBE calculation of a relaxed structure of HoPaOs2, from Alexandria via LeMat-Bulk.

Cell: 3.6380 3.6380 7.8979 Å, 76.68 76.68 60.00°
Last column: nearest neighbours and their distance in Å.
Atoms (fractional coordinates):
Ho (0.5000, 0.5000, 0.5000)  6 Os 2.93
Os (0.2559, 0.2559, 0.2324)  3 Pa 2.75, 3 Ho 2.93
Os (0.7441, 0.7441, 0.7676)  3 Pa 2.75, 3 Ho 2.93
Pa (0.0000, 0.0000, 0.0000)  6 Os 2.75

- offset from the most stable computed form (eV per atom) = 0.3771
- space-group type = R-3m (166)